{"formula": "Pm2MnSO8", "functional": "GGA+U", "state": "relaxed", "e_tot_ev_per_atom": -6.679, "m_tot_mub_per_fu": 7.05, "crystal_system": "trigonal", "lattice_angstrom": [[5.190, 0.000, 0.000], [-2.595, 4.494, 0.000], [0.000, 0.000, 6.287]], "species": ["Pm", "Pm", "Mn", "S", "O", "O", "O", "O", "O", "O", "O", "O"], "fractional_positions": [[0.333, 0.667, 0.351], [0.667, 0.333, 0.649], [0.000, 0.000, 0.000], [0.000, 0.000, 0.500], [0.152, 0.303, 0.656], [0.152, 0.848, 0.656], [0.303, 0.152, 0.344], [0.333, 0.667, 0.000], [0.667, 0.333, 0.000], [0.697, 0.848, 0.656], [0.848, 0.152, 0.344], [0.848, 0.697, 0.344]]}